The following is a DFT calculation (PBE-GGA) of a relaxed Pm3CBr3 crystal.

a b c (Å): 8.5283 3.8860 11.5245
angles (deg): 90.00 92.72 90.00
Closest atoms and distances in Å follow each position.
Space group P2_1/m (No. 11)
One atom of each set of equivalent atoms:
Pm 0.0891 0.2500 0.3931 x2  3 C 2.62-2.65
Pm 0.1185 0.2500 0.8335 x2  1 C 2.46
Pm 0.3128 0.7500 0.6208 x2  2 C 2.53
C 0.1230 0.2500 0.6207 x2  6 Pm 2.46-2.65
Br 0.1376 0.2500 0.1239 x2  3 Pm 2.98-3.15
Br 0.3763 0.7500 0.8748 x2  3 Pm 2.95-2.96
Br 0.3801 0.7500 0.3682 x2  5 Pm 2.99-3.26

As for the offset from the most stable computed form: 0 meV per atom. As for the density of states at the Fermi level: 0.24 states/eV/atom. Its formation energy without anion corrections is -1.306 eV/atom. The total energy is -75.271 eV for the cell shown.

***

The following is a DFT calculation (PBE-GGA) of a relaxed PmNpTl2Cl8 crystal.

a b c (Å): 6.9269 7.3176 8.5864
angles (deg): 90.34 90.38 92.20
Closest atoms and distances in Å follow each position.
Space group P-1 (No. 2)
One atom of each set of equivalent atoms:
Pm 0.0000 0.0000 0.0000 x1  6 Cl 2.68-2.79
Np 0.0000 0.0000 0.5000 x1  6 Cl 2.68-2.80
Tl 0.4977 0.4987 0.7513 x2  6 Cl 3.15-3.40
Cl 0.2076 0.8625 0.7515 x2  1 Pm 2.79, 1 Np 2.80
Cl 0.2086 0.8638 0.2493 x2  1 Pm 2.79, 1 Np 2.80
Cl 0.2297 0.3023 0.4955 x2  1 Np 2.68
Cl 0.2308 0.3024 0.0002 x2  1 Pm 2.68

As for the density of states at the Fermi level: 0.42 states/eV/atom. Its formation energy without anion corrections is -1.659 eV/atom. The total energy is -57.111 eV for the cell shown.

***

The following is a DFT calculation (PBE-GGA) of a relaxed TcAsBr2 crystal.

a b c (Å): 2.9924 2.9924 39.1313
angles (deg): 90.00 90.00 120.00
Closest atoms and distances in Å follow each position.
Space group R-3m (No. 166, hexagonal axes)
One atom of each set of equivalent atoms:
Tc 0.0000 0.0000 0.0000 x3  2 Br 2.39
As 0.0000 0.0000 0.5000 x3  6 As 2.99
Br 0.0000 0.0000 0.0610 x6  1 Tc 2.39

As for the offset from the most stable computed form: 643 meV per atom. As for the density of states at the Fermi level: 0.77 states/eV/atom. Its formation energy without anion corrections is 0.611 eV/atom. The total energy is -47.746 eV for the cell shown.

***

The following is a DFT calculation (PBE-GGA) of a relaxed FePRuS2 crystal.

a b c (Å): 4.7305 4.7305 4.3889
angles (deg): 90.00 90.00 90.00
Closest atoms and distances in Å follow each position.
Space group P4/mmm (No. 123)
One atom of each set of equivalent atoms:
Fe 0.0000 0.0000 0.0000 x1  8 S 3.23, 4 P 3.34
P 0.5000 0.5000 0.0000 x1  2 Ru 2.19
Ru 0.5000 0.5000 0.5000 x1  2 P 2.19, 4 S 2.37
S 0.0000 0.5000 0.5000 x2  2 Ru 2.37

As for the offset from the most stable computed form: 34 meV per atom. As for the density of states at the Fermi level: 1.55 states/eV/atom. Its formation energy without anion corrections is 0.837 eV/atom. The total energy is -27.218 eV for the cell shown.